(1)
## Li3ReAg (PBE)

Data for an optimized crystal structure of Li3ReAg.

Geometry as POSCAR:
```
Li3ReAg
1.0
4.385 0.000 0.000
0.000 4.385 0.000
0.000 0.000 4.385
Re Ag Li
1 1 3
Cartesian
2.192 2.192 2.192 Re
0.000 0.000 0.000 Ag
0.000 2.192 0.000 Li
0.000 0.000 2.192 Li
2.192 0.000 0.000 Li
```

Summary:
- Space group: Pm-3m, No. 221
- Total energy: -2.96 eV per atom
- DOS(E_F): 8.4 states/eV per cell
- Crystal system: cubic
- Polymorph energy (0 for the lowest one): 0.00 eV/f.u.
- Size of the total moment: 0.0 μB/f.u.

(2)
## Sc2InBr (PBE)

Data for an optimized crystal structure of Sc2InBr.

Geometry as POSCAR:
```
Sc2InBr
1.0
-0.476 10.479 1.110
2.628 9.955 2.293
2.122 10.282 -1.016
Sc Br In
2 1 1
Cartesian
3.862 27.759 2.157 Sc
0.411 2.957 0.230 Sc
2.137 15.358 1.193 Br
0.000 0.000 0.000 In
```

Summary:
- Space group: R-3m, No. 166
- Total energy: -4.51 eV per atom
- ΔE_f (raw): -241 meV per atom
- DOS(E_F): 4.2 states/eV per cell
- Crystal system: trigonal
- Polymorph energy (0 for the lowest one): 1.48 eV/f.u.
- Size of the total moment: 0.0 μB/f.u.

(3)
## Sr2LiIn3Ag4 (PBE)

Data for an optimized crystal structure of Sr2LiIn3Ag4.

Geometry as POSCAR:
```
Sr2LiIn3Ag4
1.0
4.517 0.000 0.000
0.000 4.517 0.000
0.000 0.000 12.459
Sr Li In Ag
2 1 3 4
Cartesian
2.258 0.000 3.089 Sr
0.000 2.258 9.371 Sr
2.258 2.258 6.230 Li
0.000 0.000 6.230 In
2.258 0.000 10.749 In
0.000 2.258 1.711 In
2.258 2.258 0.000 Ag
0.000 0.000 0.000 Ag
2.258 0.000 7.953 Ag
0.000 2.258 4.507 Ag
```

Summary:
- Space group: P-4m2, No. 115
- Total energy: -2.76 eV per atom
- DOS(E_F): 5.5 states/eV per cell
- Crystal system: tetragonal
- Size of the total moment: 0.0 μB/f.u.

(4)
## ZrBeCr2H (PBE)

Data for an optimized crystal structure of ZrBeCr2H.

Geometry as POSCAR:
```
ZrBeCr2H
1.0
4.637 0.000 0.000
0.000 3.392 0.000
0.000 0.000 4.637
Cr H Zr Be
2 1 1 1
Cartesian
0.000 0.000 2.319 Cr
2.319 0.000 0.000 Cr
0.000 1.696 0.000 H
0.000 0.000 0.000 Zr
2.319 1.696 2.319 Be
```

Summary:
- Space group: P4/mmm, No. 123
- Total energy: -5.39 eV per atom
- DOS(E_F): 8.6 states/eV per cell
- Crystal system: tetragonal
- Size of the total moment: 0.0 μB/f.u.

(5)
## Y2Tm5Bi4 (PBE)

Data for an optimized crystal structure of Y2Tm5Bi4.

Geometry as POSCAR:
```
Y2Tm5Bi4
1.0
3.491 0.000 0.000
0.000 7.915 -1.426
-1.745 -5.509 13.757
Y Tm Bi
2 5 4
Cartesian
1.745 2.579 5.476 Y
0.000 -0.173 6.854 Y
0.000 4.894 3.408 Tm
1.745 -2.489 8.923 Tm
0.000 0.262 3.506 Tm
1.745 0.000 0.000 Tm
1.745 2.143 8.824 Tm
1.745 2.540 2.053 Bi
0.000 5.728 0.215 Bi
0.000 -0.134 10.277 Bi
1.745 -3.323 12.116 Bi
```

Summary:
- Space group: C2/m, No. 12
- Total energy: -4.81 eV per atom
- DOS(E_F): 9.5 states/eV per cell
- Crystal system: monoclinic
- Size of the total moment: 0.0 μB/f.u.

(6)
## Na2SbS3 (PBE)

Data for an optimized crystal structure of Na2SbS3.

Geometry as POSCAR:
```
Na2SbS3
1.0
0.217 -4.938 -4.627
2.163 -1.159 6.310
-7.045 0.129 1.209
Na Sb S
4 2 6
Cartesian
-2.981 -4.244 -2.200 Na
1.514 -2.418 2.664 Na
-1.692 -1.740 5.046 Na
-2.324 -2.969 1.491 Na
2.161 -1.162 6.300 Sb
-6.178 -3.546 0.237 Sb
-3.247 -4.024 4.066 S
-0.769 -0.685 2.471 S
-3.973 -5.024 0.499 S
-4.886 -1.438 1.212 S
-1.293 -2.111 -0.985 S
0.174 -4.622 1.412 S
```

Summary:
- Space group: C2/m, No. 12
- Total energy: -3.89 eV per atom
- ΔE_f (raw): -702 meV per atom
- DOS(E_F): 8.4 states/eV per cell
- Crystal system: monoclinic
- Polymorph energy (0 for the lowest one): 0.00 eV/f.u.
- Size of the total moment: 0.0 μB/f.u.